Model i:
# Ca2BeCl | Alexandria | GGA-PBEsol | optimized geometry
data_Ca2BeCl
_cell_length_a 3.476
_cell_length_b 3.668
_cell_length_c 8.119
_cell_angle_alpha 103.05
_cell_angle_beta 102.36
_cell_angle_gamma 90.00
_symmetry_space_group_name_H-M 'P 1'
_symmetry_Int_Tables_number 1
loop_
_symmetry_equiv_pos_as_xyz
'x,y,z'
loop_
_atom_site_label
_atom_site_type_symbol
_atom_site_fract_x
_atom_site_fract_y
_atom_site_fract_z
Cl1 Cl 0.455 0.455 0.909
Be1 Be 0.199 0.699 0.398
Ca1 Ca 0.057 0.057 0.113
Ca2 Ca 0.790 0.290 0.579
# * size of the total moment: 0.00 μB per formula unit



Model ii:
# Ca2BeCl | Alexandria | GGA-PBEsol | optimized geometry
data_Ca2BeCl
_cell_length_a 6.562
_cell_length_b 6.562
_cell_length_c 6.562
_cell_angle_alpha 104.66
_cell_angle_beta 111.93
_cell_angle_gamma 111.93
_symmetry_space_group_name_H-M 'P 1'
_symmetry_Int_Tables_number 1
loop_
_symmetry_equiv_pos_as_xyz
'x,y,z'
loop_
_atom_site_label
_atom_site_type_symbol
_atom_site_fract_x
_atom_site_fract_y
_atom_site_fract_z
Ca1 Ca 0.494 0.375 0.369
Ca2 Ca 0.006 0.631 0.125
Ca3 Ca 0.994 0.119 0.625
Ca4 Ca 0.506 0.875 0.881
Cl1 Cl 0.000 0.000 0.000
Cl2 Cl 0.500 0.750 0.250
Be1 Be 0.500 0.250 0.750
Be2 Be 0.000 0.500 0.500
# * size of the total moment: 0.00 μB per formula unit



Least stable structure among those shown: model ii.